No. 1
FePdPb2: relaxed, PBE-GGA.

Unit cell a=4.965 b=4.965 c=4.965 alpha=60.00 beta=60.00 gamma=60.00
Element x y z (fractional)
Pb (0.750, 0.750, 0.750)
Pb (0.000, 0.000, 0.000)
Fe (0.250, 0.250, 0.250)
Pd (0.500, 0.500, 0.500)

No. 2
Dy6YNi2S2: relaxed, PBE-GGA.

Unit cell a=8.939 b=8.939 c=8.939 alpha=155.74 beta=67.36 gamma=118.24
Element x y z (fractional)
Y (0.493, 0.493, 0.000)
Dy (0.105, 0.739, 0.366)
Dy (0.373, 0.739, 0.634)
Dy (0.414, 0.099, 0.314)
Dy (0.012, 0.893, 0.119)
Dy (0.775, 0.893, 0.881)
Dy (0.785, 0.099, 0.686)
Ni (0.643, 0.403, 0.240)
Ni (0.162, 0.403, 0.760)
S (0.738, 0.238, 0.500)
S (0.147, 0.147, 0.000)

Number 1: raw total energy -19.00 eV/f.u.. Number 2: raw total energy -62.77 eV/f.u..